(1)
The following is a DFT calculation (PBE) of crystalline Co2AsIr at its relaxed geometry.

- ΔH_f (0 K): 391.5 meV/atom
- Magnetic moment: 0.9683 μB per atom

Cell: 2.788 4.672 8.497 Å, 90.00 90.00 90.00°
Space group Cmm2 (No. 35)
Symmetry-distinct sites (fractional):
Co1 0.000 0.000 0.000 x2
Co2 0.000 0.500 0.225 x2
As1 0.000 0.500 0.751 x2
Ir1 0.000 0.000 0.476 x2

---

(2)
The following is a DFT calculation (PBE) of crystalline Co2AsIr at its relaxed geometry.

- ΔH_f (0 K): 49.5 meV/atom
- Magnetic moment: 0.6078 μB per atom

Cell: 3.695 2.780 10.186 Å, 90.00 90.00 90.00°
Space group Amm2 (No. 38)
Symmetry-distinct sites (fractional):
Co1 0.000 0.000 0.000 x2
Co2 0.500 0.000 0.363 x2
As1 0.000 0.000 0.776 x2
Ir1 0.500 0.000 0.617 x2

---

Energy readings, ordered: -26.2, -27.5 eV per formula unit